--- w ---
! Ga3SeO | Alexandria via LeMat-Bulk | PBE | optimized geometry; values from VASP
&SYSTEM
  ibrav = 0, nat = 5, ntyp = 3
/
ATOMIC_SPECIES
O 16.00 O.upf
Ga 69.72 Ga.upf
Se 78.96 Se.upf
ATOMIC_POSITIONS angstrom
O 0.0000 0.0000 0.0000
Ga 0.0000 2.2879 0.0000
Ga 0.0000 0.0000 2.2879
Ga 2.2879 0.0000 0.0000
Se 2.2879 2.2879 2.2879
CELL_PARAMETERS angstrom
4.5758 0.0000 0.0000
0.0000 4.5758 0.0000
0.0000 0.0000 4.5758
! Total moment   0.00 Bohr magnetons per cell


--- x ---
! Ga3SeO | Alexandria via LeMat-Bulk | PBE | optimized geometry; values from VASP
&SYSTEM
  ibrav = 0, nat = 5, ntyp = 3
/
ATOMIC_SPECIES
O 16.00 O.upf
Ga 69.72 Ga.upf
Se 78.96 Se.upf
ATOMIC_POSITIONS angstrom
O -1.4389 -1.2949 4.1420
Ga 1.3138 -1.5987 1.6388
Ga -0.5240 1.6293 2.0096
Ga -2.2287 -1.3256 0.4936
Se 0.0000 0.0000 0.0000
CELL_PARAMETERS angstrom
-4.4573 -2.6511 0.9872
2.6276 -3.1974 3.2777
-1.0481 3.2587 4.0191
! Total moment   0.00 Bohr magnetons per cell


The most stable of them is w.


--- w ---
! GaSeO4 | Alexandria via LeMat-Bulk | PBE | optimized geometry; values from VASP
&SYSTEM
  ibrav = 0, nat = 12, ntyp = 3
/
ATOMIC_SPECIES
Ga 69.72 Ga.upf
Se 78.96 Se.upf
O 16.00 O.upf
ATOMIC_POSITIONS angstrom
Ga 0.0000 0.0000 0.0000
Ga -2.3451 1.4850 1.5357
Se -3.5070 -0.0331 4.5058
Se -1.9192 -1.9514 2.2326
O -1.5183 -2.9722 0.9339
O -1.8336 -0.3257 4.4462
O -3.9079 0.9877 5.8045
O -3.5926 -1.6588 2.2922
O -1.4304 -0.2859 1.3687
O -3.9959 -1.6985 5.3697
O -3.5460 1.3304 3.1279
O -1.8803 -3.3149 3.6105
CELL_PARAMETERS angstrom
-2.7273 -3.8273 -0.4640
1.9914 -1.1272 4.1310
-4.6903 2.9700 3.0714
! Total moment   0.00 Bohr magnetons per cell


--- x ---
! GaSeO4 | Alexandria via LeMat-Bulk | PBE | optimized geometry; values from VASP
&SYSTEM
  ibrav = 0, nat = 12, ntyp = 3
/
ATOMIC_SPECIES
Ga 69.72 Ga.upf
Se 78.96 Se.upf
O 16.00 O.upf
ATOMIC_POSITIONS angstrom
Ga 3.6942 3.6772 -0.1389
Ga 1.2314 1.4922 -0.0463
Se 1.2420 -1.2924 2.4066
Se -1.2208 1.2924 2.4992
O 2.9001 2.0623 0.8516
O 2.8286 -0.5043 1.4011
O 0.4373 3.1071 0.9442
O 0.3658 0.5043 1.4937
O -0.3447 3.0890 3.4121
O -0.4161 0.5224 3.9616
O 2.1181 2.0804 3.3195
O 2.0467 -0.5224 3.8690
CELL_PARAMETERS angstrom
4.9256 0.0000 -0.1852
0.0000 5.1694 0.0000
-2.4417 -2.5847 4.9984
! Total moment   0.00 Bohr magnetons per cell


The most stable of them is w.


--- w ---
! GaSi3O | Alexandria via LeMat-Bulk | PBE | optimized geometry; values from VASP
&SYSTEM
  ibrav = 0, nat = 5, ntyp = 3
/
ATOMIC_SPECIES
Si 28.09 Si.upf
O 16.00 O.upf
Ga 69.72 Ga.upf
ATOMIC_POSITIONS angstrom
Si -1.4876 -1.1538 0.9663
Si -1.1002 1.7608 0.4087
Si -1.0269 -0.2151 -1.8377
O 0.0000 0.0000 0.0000
Ga -3.6148 0.3919 -0.4627
CELL_PARAMETERS angstrom
-2.0539 -0.4302 -3.6754
-2.9752 -2.3076 1.9327
-2.2005 3.5216 0.8175
! Total moment   0.00 Bohr magnetons per cell


--- x ---
! GaSi3O | Alexandria via LeMat-Bulk | PBE | optimized geometry; values from VASP
&SYSTEM
  ibrav = 0, nat = 5, ntyp = 3
/
ATOMIC_SPECIES
Si 28.09 Si.upf
O 16.00 O.upf
Ga 69.72 Ga.upf
ATOMIC_POSITIONS angstrom
Si 0.0000 2.3651 0.0000
Si 0.0000 0.0000 2.3651
Si 2.3651 0.0000 0.0000
O 2.3651 2.3651 2.3651
Ga 0.0000 0.0000 0.0000
CELL_PARAMETERS angstrom
4.7302 0.0000 0.0000
0.0000 4.7302 0.0000
0.0000 0.0000 4.7302
! Total moment   0.66 Bohr magnetons per cell


The most stable of them is w.


--- w ---
! GaSiO2 | Alexandria via LeMat-Bulk | PBE | optimized geometry; values from VASP
&SYSTEM
  ibrav = 0, nat = 4, ntyp = 3
/
ATOMIC_SPECIES
Si 28.09 Si.upf
O 16.00 O.upf
Ga 69.72 Ga.upf
ATOMIC_POSITIONS angstrom
Si -5.3730 3.0898 10.9840
O -9.3435 5.3730 19.1007
O -1.4026 0.8065 2.8673
Ga 0.0000 0.0000 0.0000
CELL_PARAMETERS angstrom
-4.9404 2.2721 6.5985
-3.2165 0.6620 7.8947
-2.5891 3.2455 7.4749
! Total moment   0.00 Bohr magnetons per cell


--- x ---
! GaSiO2 | Alexandria via LeMat-Bulk | PBE | optimized geometry; values from VASP
&SYSTEM
  ibrav = 0, nat = 4, ntyp = 3
/
ATOMIC_SPECIES
Si 28.09 Si.upf
O 16.00 O.upf
Ga 69.72 Ga.upf
ATOMIC_POSITIONS angstrom
Si 0.0000 0.0000 0.0000
O 1.4129 1.4129 1.4129
O 4.2386 4.2386 4.2386
Ga 2.8258 2.8258 2.8258
CELL_PARAMETERS angstrom
0.0000 2.8258 2.8258
2.8258 0.0000 2.8258
2.8258 2.8258 0.0000
! Total moment   0.00 Bohr magnetons per cell


--- y ---
! GaSiO2 | Alexandria via LeMat-Bulk | PBE | optimized geometry; values from VASP
&SYSTEM
  ibrav = 0, nat = 8, ntyp = 3
/
ATOMIC_SPECIES
Si 28.09 Si.upf
O 16.00 O.upf
Ga 69.72 Ga.upf
ATOMIC_POSITIONS angstrom
Si 0.7327 -0.1108 3.5408
Si 3.3653 1.4602 4.8932
O -0.9174 1.4660 4.2341
O 2.9401 0.4033 2.7976
O 1.5953 3.0551 5.0068
O 3.0075 2.7741 9.0067
Ga 0.0000 0.0000 0.0000
Ga -0.0525 2.3890 5.6294
CELL_PARAMETERS angstrom
-2.6852 0.8180 4.2771
4.1505 -1.0395 2.8045
1.8474 4.0708 3.4410
! Total moment   0.00 Bohr magnetons per cell


The most stable of them is w.


--- w ---
! Ga3SiO | Alexandria via LeMat-Bulk | PBE | optimized geometry; values from VASP
&SYSTEM
  ibrav = 0, nat = 5, ntyp = 3
/
ATOMIC_SPECIES
Si 28.09 Si.upf
O 16.00 O.upf
Ga 69.72 Ga.upf
ATOMIC_POSITIONS angstrom
Si 0.0000 0.0000 0.0000
O -1.8542 3.6648 -0.3500
Ga -2.3222 0.4021 0.3308
Ga 0.5182 1.9310 1.2909
Ga -0.0502 1.3317 -1.9717
CELL_PARAMETERS angstrom
-0.1005 2.6634 -3.9435
-4.6444 0.8042 0.6615
1.0365 3.8619 2.5819
! Total moment   0.00 Bohr magnetons per cell


--- x ---
! Ga3SiO | Alexandria via LeMat-Bulk | PBE | optimized geometry; values from VASP
&SYSTEM
  ibrav = 0, nat = 5, ntyp = 3
/
ATOMIC_SPECIES
Si 28.09 Si.upf
O 16.00 O.upf
Ga 69.72 Ga.upf
ATOMIC_POSITIONS angstrom
Si 2.1859 2.1859 2.1859
O 0.0000 0.0000 0.0000
Ga 0.0000 2.1859 0.0000
Ga 0.0000 0.0000 2.1859
Ga 2.1859 0.0000 0.0000
CELL_PARAMETERS angstrom
4.3718 0.0000 0.0000
0.0000 4.3718 0.0000
0.0000 0.0000 4.3718
! Total moment   0.00 Bohr magnetons per cell


The most stable of them is x.


--- w ---
! GaSi2O | Alexandria via LeMat-Bulk | PBE | optimized geometry; values from VASP
&SYSTEM
  ibrav = 0, nat = 8, ntyp = 3
/
ATOMIC_SPECIES
Si 28.09 Si.upf
O 16.00 O.upf
Ga 69.72 Ga.upf
ATOMIC_POSITIONS angstrom
Si 2.8407 1.1298 1.5236
Si 1.6785 3.3894 1.5236
Si 3.3894 3.9381 4.5708
Si 5.6490 5.1003 4.5708
O 2.2596 2.2596 0.0000
O 2.2596 4.5192 3.0472
Ga 0.0000 0.0000 0.0000
Ga 4.5192 2.2596 3.0472
CELL_PARAMETERS angstrom
4.5192 0.0000 0.0000
0.0000 4.5192 0.0000
2.2596 2.2596 6.0944
! Total moment   0.00 Bohr magnetons per cell


--- x ---
! GaSi2O | Alexandria via LeMat-Bulk | PBE | optimized geometry; values from VASP
&SYSTEM
  ibrav = 0, nat = 4, ntyp = 3
/
ATOMIC_SPECIES
Si 28.09 Si.upf
O 16.00 O.upf
Ga 69.72 Ga.upf
ATOMIC_POSITIONS angstrom
Si 1.5033 1.5033 1.5033
Si 4.5099 4.5099 4.5099
O 0.0000 0.0000 0.0000
Ga 3.0066 3.0066 3.0066
CELL_PARAMETERS angstrom
0.0000 3.0066 3.0066
3.0066 0.0000 3.0066
3.0066 3.0066 0.0000
! Total moment   0.00 Bohr magnetons per cell


The most stable of them is w.